The following is a DFT calculation (PBE) of an optimized crystal structure of HfCo2Rh.

Output
For the density of states at the Fermi level, the calculation gives 29.3 states/eV/cell. The value obtained for the calculated volume is 224.61 Å³/cell. As for the energy of formation from the pure elements: -0.75 eV per formula unit. The value obtained for the total energy is -8.07 eV per atom.

Cell and atoms, written as CIF:
```
data_HfCo2Rh
_symmetry_space_group_name_H-M 'F m -3 m'
_symmetry_Int_Tables_number 225
_symmetry_space_group_name_Hall '-F 4 2 3'
_cell_length_a 6.079
_cell_length_b 6.079
_cell_length_c 6.079
_cell_angle_alpha 90.00
_cell_angle_beta 90.00
_cell_angle_gamma 90.00
loop_
_atom_site_label
_atom_site_type_symbol
_atom_site_fract_x
_atom_site_fract_y
_atom_site_fract_z
Hf1 Hf 0.000 0.000 0.000
Co1 Co 0.250 0.250 0.250
Rh1 Rh 0.000 0.000 0.500
```